Entry 1:
# PBE Tm2HCI, relaxed
# V in Å³/atom: 19.2
# Theoretical density in g/cm3: 8.3
# E_tot in eV per atom: -5.323
# Total magnetization in μB per cell: 0.00
data_Tm2HCI
_chemical_formula_sum 'Tm2 H1 C1 I1'
_space_group_name_H-M_alt 'P 1'
_space_group_IT_number 1
_cell_length_a 3.698
_cell_length_b 3.698
_cell_length_c 8.105
_cell_angle_alpha 90.00
_cell_angle_beta 90.00
_cell_angle_gamma 120.00
loop_
_space_group_symop_operation_xyz
'x,y,z'
loop_
_atom_site_label
_atom_site_fract_x
_atom_site_fract_y
_atom_site_fract_z
Tm1 0.333 0.667 0.799
Tm2 0.667 0.333 0.118
H1 0.667 0.333 0.713
C1 0.000 0.000 0.972
I1 0.333 0.667 0.398



Entry 2:
# PBE LuFeTc, relaxed
# V in Å³/atom: 19.9
# DFT formation energy in eV per atom: 1.220
# Theoretical density in g/cm3: 9.2
# E_tot in eV per atom: -6.511
# Total magnetization in μB per cell: 3.98
data_LuFeTc
_chemical_formula_sum 'Lu1 Fe1 Tc1'
_space_group_name_H-M_alt 'P 1'
_space_group_IT_number 1
_cell_length_a 4.386
_cell_length_b 4.386
_cell_length_c 4.386
_cell_angle_alpha 60.00
_cell_angle_beta 60.00
_cell_angle_gamma 60.00
loop_
_space_group_symop_operation_xyz
'x,y,z'
loop_
_atom_site_label
_atom_site_fract_x
_atom_site_fract_y
_atom_site_fract_z
Lu1 0.000 0.000 0.000
Tc1 0.750 0.750 0.750
Fe1 0.250 0.250 0.250



Entry 3:
# PBE HfAgAsO, relaxed
# V in Å³/atom: 17.2
# Theoretical density in g/cm3: 9.1
# E_tot in eV per atom: -6.675
# Excess energy over the best structure of this formula in the dataset in meV/atom: 300.6
# Total magnetization in μB per cell: 0.01
data_HfAgAsO
_chemical_formula_sum 'Hf2 Ag2 As2 O2'
_space_group_name_H-M_alt 'P 1'
_space_group_IT_number 1
_cell_length_a 4.711
_cell_length_b 3.568
_cell_length_c 8.195
_cell_angle_alpha 90.00
_cell_angle_beta 90.00
_cell_angle_gamma 90.00
loop_
_space_group_symop_operation_xyz
'x,y,z'
loop_
_atom_site_label
_atom_site_fract_x
_atom_site_fract_y
_atom_site_fract_z
O1 0.500 0.005 0.813
O2 0.500 0.995 0.313
Ag1 0.000 0.998 0.814
Ag2 0.000 0.002 0.314
As1 0.000 0.503 0.564
As2 0.000 0.497 0.064
Hf1 0.500 0.011 0.563
Hf2 0.500 0.989 0.063



Entry 4:
# PBE DyTcPd, relaxed
# V in Å³/atom: 22.2
# DFT formation energy in eV per atom: 0.275
# Theoretical density in g/cm3: 9.2
# E_tot in eV per atom: -6.438
# Excess energy over the best structure of this formula in the dataset in meV/atom: 0.0
# Total magnetization in μB per cell: 2.29
data_DyTcPd
_chemical_formula_sum 'Dy1 Tc1 Pd1'
_space_group_name_H-M_alt 'P 1'
_space_group_IT_number 1
_cell_length_a 4.547
_cell_length_b 4.547
_cell_length_c 4.547
_cell_angle_alpha 60.00
_cell_angle_beta 60.00
_cell_angle_gamma 60.00
loop_
_space_group_symop_operation_xyz
'x,y,z'
loop_
_atom_site_label
_atom_site_fract_x
_atom_site_fract_y
_atom_site_fract_z
Dy1 0.500 0.500 0.500
Pd1 0.250 0.250 0.250
Tc1 0.000 0.000 0.000



Entry 5:
# PBE Nb2ZnMo, relaxed
# V in Å³/atom: 16.6
# DFT formation energy in eV per atom: 0.164
# Theoretical density in g/cm3: 8.7
# E_tot in eV per atom: -7.911
# Total magnetization in μB per cell: 0.01
data_Nb2ZnMo
_chemical_formula_sum 'Nb2 Zn1 Mo1'
_space_group_name_H-M_alt 'P 1'
_space_group_IT_number 1
_cell_length_a 4.550
_cell_length_b 4.550
_cell_length_c 4.550
_cell_angle_alpha 60.00
_cell_angle_beta 60.00
_cell_angle_gamma 60.00
loop_
_space_group_symop_operation_xyz
'x,y,z'
loop_
_atom_site_label
_atom_site_fract_x
_atom_site_fract_y
_atom_site_fract_z
Zn1 0.500 0.500 0.500
Nb1 0.750 0.750 0.750
Nb2 0.000 0.000 0.000
Mo1 0.250 0.250 0.250



Entry 6:
# PBE TbTlHgS3, relaxed
# V in Å³/atom: 27.9
# Theoretical density in g/cm3: 6.5
# E_tot in eV per atom: -4.268
# Excess energy over the best structure of this formula in the dataset in meV/atom: 0.0
# Total magnetization in μB per cell: 0.00
data_TbTlHgS3
_chemical_formula_sum 'Tb4 Tl4 Hg4 S12'
_space_group_name_H-M_alt 'P 1'
_space_group_IT_number 1
_cell_length_a 10.746
_cell_length_b 4.139
_cell_length_c 15.069
_cell_angle_alpha 90.00
_cell_angle_beta 90.00
_cell_angle_gamma 90.00
loop_
_space_group_symop_operation_xyz
'x,y,z'
loop_
_atom_site_label
_atom_site_fract_x
_atom_site_fract_y
_atom_site_fract_z
S1 0.041 0.750 0.627
S2 0.482 0.750 0.627
S3 0.959 0.250 0.373
S4 0.739 0.750 0.204
S5 0.239 0.750 0.296
S6 0.459 0.250 0.127
S7 0.541 0.750 0.873
S8 0.982 0.750 0.873
S9 0.018 0.250 0.127
S10 0.261 0.250 0.796
S11 0.518 0.250 0.373
S12 0.761 0.250 0.704
Tb1 0.011 0.250 0.750
Tb2 0.989 0.750 0.250
Tb3 0.511 0.250 0.750
Tb4 0.489 0.750 0.250
Tl1 0.763 0.750 0.558
Tl2 0.737 0.250 0.058
Tl3 0.237 0.250 0.442
Tl4 0.263 0.750 0.942
Hg1 0.738 0.250 0.349
Hg2 0.762 0.750 0.849
Hg3 0.238 0.250 0.151
Hg4 0.262 0.750 0.651



Entry 7:
# PBE NdS2F2, relaxed
# V in Å³/atom: 20.5
# Theoretical density in g/cm3: 4.0
# E_tot in eV per atom: -5.704
# Total magnetization in μB per cell: 0.00
data_NdS2F2
_chemical_formula_sum 'Nd2 S4 F4'
_space_group_name_H-M_alt 'P 1'
_space_group_IT_number 1
_cell_length_a 5.187
_cell_length_b 6.552
_cell_length_c 7.309
_cell_angle_alpha 109.66
_cell_angle_beta 98.32
_cell_angle_gamma 112.54
loop_
_space_group_symop_operation_xyz
'x,y,z'
loop_
_atom_site_label
_atom_site_fract_x
_atom_site_fract_y
_atom_site_fract_z
Nd1 0.818 0.816 0.634
Nd2 0.182 0.184 0.366
F1 0.312 0.582 0.548
F2 0.778 0.049 0.476
F3 0.222 0.951 0.524
F4 0.688 0.418 0.452
S1 0.191 0.832 0.988
S2 0.217 0.277 0.999
S3 0.809 0.168 0.012
S4 0.783 0.723 0.001



Entry 8:
# PBE Nd4SiTe3, relaxed
# V in Å³/atom: 31.3
# Theoretical density in g/cm3: 6.5
# E_tot in eV per atom: -5.559
# Total magnetization in μB per cell: 0.00
data_Nd4SiTe3
_chemical_formula_sum 'Nd4 Si1 Te3'
_space_group_name_H-M_alt 'P 1'
_space_group_IT_number 1
_cell_length_a 7.753
_cell_length_b 7.753
_cell_length_c 4.411
_cell_angle_alpha 90.00
_cell_angle_beta 90.00
_cell_angle_gamma 108.96
loop_
_space_group_symop_operation_xyz
'x,y,z'
loop_
_atom_site_label
_atom_site_fract_x
_atom_site_fract_y
_atom_site_fract_z
Te1 0.500 0.500 0.000
Te2 0.000 0.500 0.500
Te3 0.500 0.000 0.500
Nd1 0.766 0.234 0.000
Nd2 0.225 0.225 0.500
Nd3 0.775 0.775 0.500
Nd4 0.234 0.766 0.000
Si1 0.000 0.000 0.000



Entry 9:
# PBE Tb2NdTe2, relaxed
# V in Å³/atom: 33.2
# Theoretical density in g/cm3: 7.2
# E_tot in eV per atom: -4.916
# Total magnetization in μB per cell: 0.12
data_Tb2NdTe2
_chemical_formula_sum 'Tb4 Nd2 Te4'
_space_group_name_H-M_alt 'P 1'
_space_group_IT_number 1
_cell_length_a 4.130
_cell_length_b 4.130
_cell_length_c 22.458
_cell_angle_alpha 90.00
_cell_angle_beta 90.00
_cell_angle_gamma 120.00
loop_
_space_group_symop_operation_xyz
'x,y,z'
loop_
_atom_site_label
_atom_site_fract_x
_atom_site_fract_y
_atom_site_fract_z
Te1 0.333 0.667 0.092
Te2 0.667 0.333 0.908
Te3 0.667 0.333 0.592
Te4 0.333 0.667 0.408
Tb1 0.333 0.667 0.675
Tb2 0.333 0.667 0.825
Tb3 0.667 0.333 0.175
Tb4 0.667 0.333 0.325
Nd1 0.000 0.000 0.000
Nd2 0.000 0.000 0.500



Entry 10:
# PBE TcSn2Pb, relaxed
# V in Å³/atom: 22.7
# Theoretical density in g/cm3: 9.9
# E_tot in eV per atom: -4.887
# Total magnetization in μB per cell: 1.01
data_TcSn2Pb
_chemical_formula_sum 'Tc1 Sn2 Pb1'
_space_group_name_H-M_alt 'P 1'
_space_group_IT_number 1
_cell_length_a 5.045
_cell_length_b 5.045
_cell_length_c 5.045
_cell_angle_alpha 60.00
_cell_angle_beta 60.00
_cell_angle_gamma 60.00
loop_
_space_group_symop_operation_xyz
'x,y,z'
loop_
_atom_site_label
_atom_site_fract_x
_atom_site_fract_y
_atom_site_fract_z
Sn1 0.250 0.250 0.250
Sn2 0.500 0.500 0.500
Pb1 0.000 0.000 0.000
Tc1 0.750 0.750 0.750



Entry 11:
# PBE Dy3Si2Cl5O6, relaxed
# V in Å³/atom: 19.3
# Theoretical density in g/cm3: 4.4
# E_tot in eV per atom: -6.753
# Total magnetization in μB per cell: 0.00
data_Dy3Si2Cl5O6
_chemical_formula_sum 'Dy6 Si4 Cl10 O12'
_space_group_name_H-M_alt 'P 1'
_space_group_IT_number 1
_cell_length_a 7.404
_cell_length_b 7.404
_cell_length_c 11.581
_cell_angle_alpha 99.50
_cell_angle_beta 80.50
_cell_angle_gamma 91.65
loop_
_space_group_symop_operation_xyz
'x,y,z'
loop_
_atom_site_label
_atom_site_fract_x
_atom_site_fract_y
_atom_site_fract_z
O1 0.954 0.604 0.827
O2 0.604 0.954 0.173
O3 0.049 0.951 0.802
O4 0.046 0.396 0.173
O5 0.859 0.859 0.000
O6 0.309 0.134 0.173
O7 0.691 0.866 0.827
O8 0.141 0.141 0.000
O9 0.396 0.046 0.827
O10 0.866 0.691 0.173
O11 0.951 0.049 0.198
O12 0.134 0.309 0.827
Cl1 0.674 0.885 0.421
Cl2 0.326 0.115 0.579
Cl3 0.778 0.222 0.663
Cl4 0.380 0.620 0.642
Cl5 0.620 0.380 0.358
Cl6 0.885 0.674 0.579
Cl7 0.683 0.317 0.003
Cl8 0.115 0.326 0.421
Cl9 0.317 0.683 0.997
Cl10 0.222 0.778 0.337
Si1 0.890 0.817 0.854
Si2 0.110 0.183 0.146
Si3 0.183 0.110 0.854
Si4 0.817 0.890 0.146
Dy1 0.083 0.416 0.668
Dy2 0.416 0.083 0.332
Dy3 0.000 0.500 0.000
Dy4 0.584 0.917 0.668
Dy5 0.500 0.000 0.000
Dy6 0.917 0.584 0.332



Entry 12:
# PBE ErMgAgSe3, relaxed
# V in Å³/atom: 22.8
# Theoretical density in g/cm3: 6.5
# E_tot in eV per atom: -4.300
# Total magnetization in μB per cell: 0.01
data_ErMgAgSe3
_chemical_formula_sum 'Er2 Mg2 Ag2 Se6'
_space_group_name_H-M_alt 'P 1'
_space_group_IT_number 1
_cell_length_a 3.887
_cell_length_b 10.730
_cell_length_c 6.853
_cell_angle_alpha 90.00
_cell_angle_beta 106.47
_cell_angle_gamma 90.00
loop_
_space_group_symop_operation_xyz
'x,y,z'
loop_
_atom_site_label
_atom_site_fract_x
_atom_site_fract_y
_atom_site_fract_z
Ag1 0.481 0.500 0.962
Ag2 0.519 0.000 0.038
Se1 0.352 0.317 0.704
Se2 0.118 0.500 0.237
Se3 0.352 0.683 0.704
Se4 0.648 0.183 0.296
Se5 0.648 0.817 0.296
Se6 0.881 0.000 0.763
Er1 0.000 0.750 0.000
Er2 0.000 0.250 0.000
Mg1 0.771 0.500 0.542
Mg2 0.229 0.000 0.458



- Look up the total magnetization of the fourth one.
  2.29 μB per cell